Ca2CSe: single point on PBEsol structure, SCAN.

Computed properties:
- Uncorrected formation energy: -0.192 eV per atom
- Total DFT energy (no corrections): -201.1 eV/cell
- N(E_F): 7.57 states/eV per cell

Lattice parameters (Å, degrees): 6.771 6.771 6.771 90.00 90.00 90.00
Space group Fm-3m (No. 225)
One atom of each set of equivalent atoms:
Ca  0.250  0.250  0.250 [8 per cell]
C  0.000  0.000  0.000 [4 per cell]
Se  0.000  0.000  0.500 [4 per cell]